The following is a PBE with a Hubbard U calculation of RbMnF2 after structural relaxation, from Alexandria via LeMat-Bulk.

The structure belongs to space group R-3m (No. 166, hexagonal axes); the cell edges are 3.7231, 3.7231 and 22.0339 Å and the angles 90.00°, 90.00° and 120.00°. The distinct sites, in fractional coordinates, are Rb at (0.0000, 0.0000, 0.0000), Mn at (0.0000, 0.0000, 0.5000) and F at (0.0000, 0.0000, 0.1260).

For the density of states at the Fermi level, the calculation gives 0.29 states/eV per atom. The value obtained for the raw total energy is -4.83 eV per atom.